# 1
A crystal of SrPPd3 relaxed with PBEsol, computed with meta-GGA SCAN.

Results
N(E_F)   2.15 states/eV per cell
SG   Pm-3m (221)
Magnetic moment   0.00 μB/f.u.
Total energy   -134.60 eV/cell
DFT formation energy   -720 meV/atom

```
5
Lattice="-4.283 0.483 1.561 0.579 -3.648 2.716 1.528 2.735 3.347" Properties=species:S:1:pos:R:3 pbc="T T T"
Pd -2.142 0.241 0.781
Pd 0.764 1.367 1.674
Pd 0.289 -1.824 1.358
Sr -1.088 -0.215 3.812
P 0.000 0.000 0.000
```


# 2
A crystal of Sr2PPd2 relaxed with PBEsol, computed with meta-GGA SCAN.

Results
N(E_F)   2.75 states/eV per cell
SG   I4/mmm (139)
Magnetic moment   0.00 μB/f.u.
Total energy   -123.66 eV/cell
DFT formation energy   -633 meV/atom

```
5
Lattice="3.701 0.000 0.000 0.000 3.701 0.000 -1.850 -1.850 8.565" Properties=species:S:1:pos:R:3 pbc="T T T"
Sr 0.000 0.000 6.818
Sr 1.850 1.850 1.747
P 0.000 0.000 0.000
Pd 1.850 0.000 4.282
Pd 0.000 1.850 4.282
```


> total energy of number 2 (Sr2PPd2)?

-123.66 eV/cell


> Number 1 is which compound?

SrPPd3


> The lowest DFT formation energy belongs to which entry?

SrPPd3


> The lowest total energy belongs to which entry?

SrPPd3